Record 1
Density functional theory data (PBE-GGA) for crystalline K3SnBr7 at its relaxed geometry.

Cell lengths 10.251, 10.678, 8.042 Å; angles 90.00, 104.77, 90.00 degrees
Space group Cm (No. 8)
Inequivalent atoms, fractional coordinates:
K: 0.000 0.000 0.000
K: 0.497 0.221 0.458
Sn: 0.013 0.500 0.966
Br: 0.059 0.000 0.406
Br: 0.167 0.324 0.150
Br: 0.169 0.500 0.740
Br: 0.351 0.000 0.181
Br: 0.362 0.181 0.787

Summary:
Total moment (μB per formula unit): 0.07
Raw total energy (eV/atom): -2.947
Uncorrected formation energy (eV per formula unit): -13.4

Record 2
Density functional theory data (PBE-GGA) for crystalline K3SnBr6 at its relaxed geometry.

Cell lengths 7.878, 8.418, 13.710 Å; angles 90.00, 124.20, 90.00 degrees
Space group P2_1/c (No. 14)
Inequivalent atoms, fractional coordinates:
K: 0.000 0.000 0.000
K: 0.213 0.080 0.744
Sn: 0.500 0.000 0.500
Br: 0.154 0.178 0.442
Br: 0.257 0.721 0.423
Br: 0.404 0.056 0.271

Summary:
Total moment (μB per formula unit): 0.00
Raw total energy (eV/atom): -3.038
Uncorrected formation energy (eV per formula unit): -13.0